Density functional theory data (PBE+U) for AcCoF after structural relaxation.

Structure (extended XYZ):
```
6
Lattice="2.085 1.204 8.251 -2.085 1.204 8.251 0.000 -2.408 8.251" Properties=species:S:1:pos:R:3 pbc="T T T"
Ac 0.000 0.000 2.156
Ac 0.000 0.000 22.598
Co 0.000 0.000 8.372
Co 0.000 0.000 16.381
F 0.000 0.000 4.849
F 0.000 0.000 19.905
```

Values from the calculation:
Energy, eV/atom: -5.27
Space-group type: R-3m (166)